(1)
# Y2Zn2Cu15 PBE optimized geometry
# - calculated formation energy (eV per atom) = -0.147
data_Y2Zn2Cu15
_symmetry_space_group_name_H-M 'R -3 m'
_symmetry_Int_Tables_number 166
_symmetry_space_group_name_Hall '-R 3 2"'
_cell_length_a 8.5908
_cell_length_b 8.5908
_cell_length_c 12.6132
_cell_angle_alpha 90.00
_cell_angle_beta 90.00
_cell_angle_gamma 120.00
loop_
_atom_site_label
_atom_site_type_symbol
_atom_site_fract_x
_atom_site_fract_y
_atom_site_fract_z
_atom_site_occupancy
Y1 Y 0.0000 0.0000 0.1528 1
Zn1 Zn 0.0000 0.0000 0.3982 1
Cu1 Cu 0.0000 0.2991 0.5000 1
Cu2 Cu 0.0000 0.5000 0.0000 1
Cu3 Cu 0.0014 0.5007 0.6536 1

(2)
# AcPr2Ni6 PBE optimized geometry
# - calculated formation energy (eV per atom) = -0.054
data_AcPr2Ni6
_symmetry_space_group_name_H-M 'I m m m'
_symmetry_Int_Tables_number 71
_symmetry_space_group_name_Hall '-I 2 2'
_cell_length_a 3.971
_cell_length_b 8.177
_cell_length_c 11.492
_cell_angle_alpha 90.00
_cell_angle_beta 90.00
_cell_angle_gamma 90.00
loop_
_atom_site_label
_atom_site_type_symbol
_atom_site_fract_x
_atom_site_fract_y
_atom_site_fract_z
_atom_site_occupancy
Ac1 Ac 0.000 0.000 0.000 1
Pr1 Pr 0.000 0.500 0.154 1
Ni1 Ni 0.000 0.156 0.500 1
Ni2 Ni 0.000 0.258 0.311 1

For each record above, in turn, the calculated total moment values are 0.0000, 0.0000 μB/atom.
For each record above, in turn, the calculated electronic total energy values are -4.195, -5.427 eV/atom.
For each record above, in turn, the calculated D(E_F) values are 7.8, 7.8 states/eV/f.u..